# PBE with a Hubbard U CaTiMnP3O12, optimized geometry
# Total energy (eV per atom): -7.627
# Magnetization (μB/atom): 0.22
data_CaTiMnP3O12
_chemical_formula_sum 'Ca4 Ti4 Mn4 P12 O48'
_cell_length_a 15.0683
_cell_length_b 8.6162
_cell_length_c 8.9696
_cell_angle_alpha 90.00
_cell_angle_beta 125.38
_cell_angle_gamma 90.00
_space_group_name_H-M_alt 'C 1 c 1'
_space_group_IT_number 9
loop_
_space_group_symop_operation_xyz
'x,y,z'
'x,-y,z+1/2'
'x+1/2,y+1/2,z'
'x+1/2,-y+1/2,z+1/2'
loop_
_atom_site_label
_atom_site_type_symbol
_atom_site_fract_x
_atom_site_fract_y
_atom_site_fract_z
Ca1 Ca 0.0000 0.2476 0.0000
Ti1 Ti 0.3538 0.2517 0.0523
Mn1 Mn 0.1458 0.2457 0.4351
P1 P 0.1036 0.1028 0.7468
P2 P 0.2480 0.4627 0.2332
P3 P 0.3951 0.1044 0.7450
O1 O 0.0115 0.1833 0.7486
O2 O 0.0938 0.0758 0.2581
O3 O 0.0936 0.1315 0.5720
O4 O 0.1664 0.3560 0.2311
O5 O 0.1842 0.4376 0.5604
O6 O 0.2125 0.1645 0.9205
O7 O 0.2926 0.1637 0.5685
O8 O 0.3125 0.4345 0.9102
O9 O 0.3365 0.3645 0.2374
O10 O 0.3985 0.1465 0.9181
O11 O 0.4035 0.0758 0.2461
O12 O 0.4910 0.1765 0.7507